[1]
This record from Alexandria describes a relaxed LaAgRu2 crystal. The functional is PBE-GGA.

The structure in CIF format:
```
data_LaAgRu2
_cell_length_a 2.892
_cell_length_b 2.892
_cell_length_c 30.004
_cell_angle_alpha 90.00
_cell_angle_beta 90.00
_cell_angle_gamma 120.00
_space_group_name_H-M_alt 'P 1'
_space_group_IT_number 1
_space_group_name_Hall 'P 1'
loop_
_atom_site_label
_atom_site_type_symbol
_atom_site_fract_x
_atom_site_fract_y
_atom_site_fract_z
La1 La 0.000 0.000 0.000
La2 La 0.333 0.667 0.667
La3 La 0.667 0.333 0.333
Ag1 Ag 0.000 0.000 0.500
Ag2 Ag 0.333 0.667 0.167
Ag3 Ag 0.667 0.333 0.833
Ru1 Ru 0.000 0.000 0.245
Ru2 Ru 0.000 0.000 0.755
Ru3 Ru 0.333 0.667 0.422
Ru4 Ru 0.333 0.667 0.911
Ru5 Ru 0.667 0.333 0.089
Ru6 Ru 0.667 0.333 0.578
```

Computed properties:
Relative energy among the computed polymorphs (kJ per mole of atoms): 52.7
V (Å³/atom): 18.11
DFT total energy (eV/cell): -70.2
Energy of formation (eV/f.u.): 2.935

=====

[2]
This record from Alexandria describes a relaxed ScTlMo3 crystal. The functional is PBE-GGA.

The structure in CIF format:
```
data_ScTlMo3
_cell_length_a 4.982
_cell_length_b 4.982
_cell_length_c 4.982
_cell_angle_alpha 90.00
_cell_angle_beta 90.00
_cell_angle_gamma 90.00
_space_group_name_H-M_alt 'P 1'
_space_group_IT_number 1
_space_group_name_Hall 'P 1'
loop_
_atom_site_label
_atom_site_type_symbol
_atom_site_fract_x
_atom_site_fract_y
_atom_site_fract_z
Sc1 Sc 0.000 0.000 0.000
Tl1 Tl 0.500 0.500 0.500
Mo1 Mo 0.000 0.500 0.500
Mo2 Mo 0.500 0.000 0.500
Mo3 Mo 0.500 0.500 0.000
```

Computed properties:
Relative energy among the computed polymorphs (kJ per mole of atoms): 40.5
V (Å³/atom): 24.74
DFT total energy (eV/cell): -29.9
Energy of formation (eV/f.u.): 11.297

=====

Question: Look up the relative energy among the computed polymorphs of the second one.
Answer: 40.5 kJ per mole of atoms